Computed, not measured: a relaxed structure of Ac2Pm at the PBE level of DFT. Values from VASP.

## Properties
- V (Å³ per cell) = 124.29
- formation energy (meV/atom) = 32.9
- energy above the most stable polymorph in this dataset (meV per atom) = 0

Cell and atoms, written as Quantum ESPRESSO input:
```
&SYSTEM
  ibrav = 0, nat = 3, ntyp = 2
/
ATOMIC_SPECIES
Ac 227.00 Ac.upf
Pm 145.00 Pm.upf
CELL_PARAMETERS angstrom
3.745 0.000 -1.128
0.000 3.907 0.000
-3.276 -1.954 9.480
ATOMIC_POSITIONS angstrom
Ac 2.628 0.000 1.946
Ac -2.159 1.954 6.406
Pm 0.000 1.954 0.000
```

***

Computed, not measured: a relaxed structure of Ac3Pm13 at the PBE level of DFT. Values from VASP.

## Properties
- V (Å³ per cell) = 583.78
- formation energy (meV/atom) = 45.7
- energy above the most stable polymorph in this dataset (meV per atom) = 19

Cell and atoms, written as Quantum ESPRESSO input:
```
&SYSTEM
  ibrav = 0, nat = 16, ntyp = 2
/
ATOMIC_SPECIES
Pm 145.00 Pm.upf
Ac 227.00 Ac.upf
CELL_PARAMETERS angstrom
7.504 0.000 0.000
0.000 8.795 -0.829
0.000 0.140 8.833
ATOMIC_POSITIONS angstrom
Pm 1.895 4.077 0.016
Pm 3.752 6.276 6.367
Pm 1.895 8.471 3.953
Pm 0.000 6.946 1.234
Pm 1.884 4.853 3.571
Pm 0.000 6.338 6.376
Pm 3.752 2.692 5.983
Pm 5.609 8.471 3.953
Pm 3.752 1.918 2.463
Pm 0.000 1.902 2.403
Pm 5.620 4.853 3.571
Pm 5.609 4.077 0.016
Pm 3.752 6.958 1.221
Ac 5.613 0.473 8.460
Ac 1.891 0.473 8.460
Ac 0.000 2.696 5.979
```

***

Computed, not measured: a relaxed structure of AcPm5 at the PBE level of DFT. Values from VASP.

## Properties
- V (Å³ per cell) = 216.00
- formation energy (meV/atom) = 28.0

Cell and atoms, written as Quantum ESPRESSO input:
```
&SYSTEM
  ibrav = 0, nat = 6, ntyp = 2
/
ATOMIC_SPECIES
Pm 145.00 Pm.upf
Ac 227.00 Ac.upf
CELL_PARAMETERS angstrom
5.244 0.000 0.000
0.000 5.230 0.000
0.000 -2.615 7.877
ATOMIC_POSITIONS angstrom
Pm 2.622 2.615 0.000
Pm 0.000 2.615 2.682
Pm 0.000 0.000 5.195
Pm 2.622 2.615 5.217
Pm 2.622 0.000 2.660
Ac 0.000 0.000 0.000
```

***

Computed, not measured: a relaxed structure of AcPm at the PBE level of DFT. Values from VASP.

## Properties
- V (Å³ per cell) = 158.79
- formation energy (meV/atom) = 47.0
- energy above the most stable polymorph in this dataset (meV per atom) = 6

Cell and atoms, written as Quantum ESPRESSO input:
```
&SYSTEM
  ibrav = 0, nat = 4, ntyp = 2
/
ATOMIC_SPECIES
Ac 227.00 Ac.upf
Pm 145.00 Pm.upf
CELL_PARAMETERS angstrom
-3.505 0.118 -1.566
-2.190 -3.155 -0.046
-6.712 2.168 10.473
ATOMIC_POSITIONS angstrom
Ac -4.947 1.002 6.437
Ac -7.459 -1.871 2.423
Pm -4.356 -1.655 0.205
Pm -8.050 0.786 8.655
```

***

Computed, not measured: a relaxed structure of Ac2Pm3 at the PBE level of DFT. Values from VASP.

## Properties
- V (Å³ per cell) = 389.04
- formation energy (meV/atom) = 86.7
- energy above the most stable polymorph in this dataset (meV per atom) = 0

Cell and atoms, written as Quantum ESPRESSO input:
```
&SYSTEM
  ibrav = 0, nat = 10, ntyp = 2
/
ATOMIC_SPECIES
Pm 145.00 Pm.upf
Ac 227.00 Ac.upf
CELL_PARAMETERS angstrom
4.572 -0.308 4.493
-1.764 6.576 5.960
-0.527 0.530 13.248
ATOMIC_POSITIONS angstrom
Pm 1.666 3.423 16.927
Pm 2.312 5.031 9.340
Pm 0.616 3.374 6.774
Pm 3.175 1.591 8.572
Pm -0.030 1.767 14.361
Pm -0.893 5.206 15.129
Ac -0.403 6.425 11.529
Ac 2.685 0.372 12.171
Ac 2.318 4.379 13.139
Ac -0.036 2.418 10.561
```

***

Computed, not measured: a relaxed structure of AcPm at the PBE level of DFT. Values from VASP.

## Properties
- V (Å³ per cell) = 160.01
- formation energy (meV/atom) = 168.9
- energy above the most stable polymorph in this dataset (meV per atom) = 128

Cell and atoms, written as Quantum ESPRESSO input:
```
&SYSTEM
  ibrav = 0, nat = 4, ntyp = 2
/
ATOMIC_SPECIES
Pm 145.00 Pm.upf
Ac 227.00 Ac.upf
CELL_PARAMETERS angstrom
6.060 0.000 0.729
2.986 5.273 0.729
2.425 1.413 5.398
ATOMIC_POSITIONS angstrom
Pm 8.827 5.145 3.282
Pm 2.644 1.541 3.574
Ac 5.959 3.474 1.570
Ac 5.512 3.213 5.286
```

***

Computed, not measured: a relaxed structure of Ac7Pm at the PBE level of DFT. Values from VASP.

## Properties
- V (Å³ per cell) = 350.74
- formation energy (meV/atom) = 25.0

Cell and atoms, written as Quantum ESPRESSO input:
```
&SYSTEM
  ibrav = 0, nat = 8, ntyp = 2
/
ATOMIC_SPECIES
Pm 145.00 Pm.upf
Ac 227.00 Ac.upf
CELL_PARAMETERS angstrom
-0.192 7.629 2.102
-6.267 4.462 -1.864
-4.964 2.419 5.672
ATOMIC_POSITIONS angstrom
Pm 0.000 0.000 0.000
Ac -3.134 2.231 -0.932
Ac -3.230 6.046 0.119
Ac -2.482 1.209 2.836
Ac -5.712 7.255 2.955
Ac -0.096 3.815 1.051
Ac -2.578 5.024 3.887
Ac -5.616 3.440 1.904
```

***

Computed, not measured: a relaxed structure of Ac8Pm at the PBE level of DFT. Values from VASP.

## Properties
- V (Å³ per cell) = 395.59
- formation energy (meV/atom) = 23.8

Cell and atoms, written as Quantum ESPRESSO input:
```
&SYSTEM
  ibrav = 0, nat = 9, ntyp = 2
/
ATOMIC_SPECIES
Pm 145.00 Pm.upf
Ac 227.00 Ac.upf
CELL_PARAMETERS angstrom
-4.580 -2.916 -1.424
0.579 -2.125 -8.573
1.625 -8.600 1.322
ATOMIC_POSITIONS angstrom
Pm 0.000 0.000 0.000
Ac -1.952 -7.710 -0.059
Ac -2.654 -3.364 -6.701
Ac -1.347 -1.677 -3.297
Ac -1.003 -3.806 -0.043
Ac -0.040 -8.142 -5.324
Ac 0.925 -4.266 -5.300
Ac 1.279 -6.459 -1.951
Ac -2.336 -5.499 -3.351
```

***

Computed, not measured: a relaxed structure of Ac3Pm4 at the PBE level of DFT. Values from VASP.

## Properties
- V (Å³ per cell) = 272.00
- formation energy (meV/atom) = 38.9

Cell and atoms, written as Quantum ESPRESSO input:
```
&SYSTEM
  ibrav = 0, nat = 7, ntyp = 2
/
ATOMIC_SPECIES
Ac 227.00 Ac.upf
Pm 145.00 Pm.upf
CELL_PARAMETERS angstrom
-3.798 -0.186 -0.458
-0.063 -3.337 1.879
-0.443 10.819 15.292
ATOMIC_POSITIONS angstrom
Ac -2.929 2.047 7.440
Ac 0.000 0.000 0.000
Ac -1.376 5.248 9.273
Pm -0.655 2.497 4.412
Pm -2.274 -0.453 3.022
Pm -2.031 7.749 13.691
Pm -3.650 4.798 12.301
```

***

Computed, not measured: a relaxed structure of Ac2Pm at the PBE level of DFT. Values from VASP.

## Properties
- V (Å³ per cell) = 124.10
- formation energy (meV/atom) = 117.3
- energy above the most stable polymorph in this dataset (meV per atom) = 84

Cell and atoms, written as Quantum ESPRESSO input:
```
&SYSTEM
  ibrav = 0, nat = 3, ntyp = 2
/
ATOMIC_SPECIES
Ac 227.00 Ac.upf
Pm 145.00 Pm.upf
CELL_PARAMETERS angstrom
-1.470 -3.103 2.927
-1.356 -2.606 -3.425
6.877 0.156 0.136
ATOMIC_POSITIONS angstrom
Ac 2.337 -4.706 -0.326
Ac 1.714 -0.847 -0.035
Pm -1.413 -2.854 -0.249
```

***

Computed, not measured: a relaxed structure of AcPm8 at the PBE level of DFT. Values from VASP.

## Properties
- V (Å³ per cell) = 319.36
- formation energy (meV/atom) = 23.2

Cell and atoms, written as Quantum ESPRESSO input:
```
&SYSTEM
  ibrav = 0, nat = 9, ntyp = 2
/
ATOMIC_SPECIES
Pm 145.00 Pm.upf
Ac 227.00 Ac.upf
CELL_PARAMETERS angstrom
-1.520 -4.915 -0.865
5.866 -5.075 2.802
-4.241 -2.614 6.573
ATOMIC_POSITIONS angstrom
Pm -0.845 -3.441 5.306
Pm -3.820 -5.019 3.765
Pm 0.569 -6.757 5.935
Pm 2.859 -6.645 1.273
Pm -1.940 -2.511 1.943
Pm 1.487 -3.345 0.664
Pm 2.470 -4.248 4.069
Pm -0.463 -5.847 2.575
Ac 0.000 0.000 0.000
```

***

Computed, not measured: a relaxed structure of Ac3Pm5 at the PBE level of DFT. Values from VASP.

## Properties
- V (Å³ per cell) = 307.88
- formation energy (meV/atom) = 156.5
- energy above the most stable polymorph in this dataset (meV per atom) = 120

Cell and atoms, written as Quantum ESPRESSO input:
```
&SYSTEM
  ibrav = 0, nat = 8, ntyp = 2
/
ATOMIC_SPECIES
Pm 145.00 Pm.upf
Ac 227.00 Ac.upf
CELL_PARAMETERS angstrom
3.711 -0.044 0.000
-1.290 3.479 0.000
0.000 0.000 23.951
ATOMIC_POSITIONS angstrom
Pm 0.000 0.000 9.205
Pm 1.210 1.718 17.490
Pm 1.210 1.718 11.975
Pm 1.210 1.718 6.460
Pm 0.000 0.000 14.746
Ac 0.000 0.000 3.383
Ac 0.000 0.000 20.567
Ac 1.210 1.718 0.000
```